1.
The following is a DFT calculation (PBE-GGA) of a relaxed Zr4SbSN2 crystal.

a = 3.438 Å, b = 3.438 Å, c = 12.717 Å
α = 90.00°, β = 90.00°, γ = 120.00°
Positions (direct):
N1 0.333 0.667 0.234
N2 0.333 0.667 0.766
S1 0.000 0.000 0.000
Sb1 0.667 0.333 0.500
Zr1 0.667 0.333 0.142
Zr2 0.000 0.000 0.326
Zr3 0.000 0.000 0.674
Zr4 0.667 0.333 0.858

## Properties
- energy (eV per formula unit) = -69.95
- SG = P-6m2 (187)

=====

2.
The following is a DFT calculation (PBE-GGA) of a relaxed PdSe2Br4Cl2 crystal.

a = 4.847 Å, b = 7.270 Å, c = 8.965 Å
α = 105.73°, β = 97.74°, γ = 91.54°
Positions (direct):
Br1 0.688 0.865 0.147
Br2 0.072 0.503 0.222
Br3 0.928 0.497 0.778
Br4 0.312 0.135 0.853
Cl1 0.260 0.176 0.434
Cl2 0.740 0.824 0.566
Pd1 0.000 0.000 0.000
Se1 0.319 0.221 0.207
Se2 0.681 0.779 0.793

## Properties
- energy (eV per formula unit) = -24.90
- SG = P-1 (2)

=====

3.
The following is a DFT calculation (PBE-GGA) of a relaxed TmBi crystal.

a = 4.409 Å, b = 4.409 Å, c = 4.409 Å
α = 60.00°, β = 60.00°, γ = 60.00°
Positions (direct):
Bi1 0.000 0.000 0.000
Tm1 0.500 0.500 0.500

## Properties
- energy (eV per formula unit) = -10.12
- SG = Fm-3m (225)

=====

4.
The following is a DFT calculation (PBE-GGA) of a relaxed Li2ScZnGa2Ni2 crystal.

a = 4.239 Å, b = 4.239 Å, c = 6.059 Å
α = 90.00°, β = 90.00°, γ = 90.00°
Positions (direct):
Ga1 0.500 0.500 0.000
Ga2 0.000 0.000 0.500
Li1 0.000 0.500 0.277
Li2 0.500 0.000 0.723
Ni1 0.500 0.000 0.257
Ni2 0.000 0.500 0.743
Sc1 0.000 0.000 0.000
Zn1 0.500 0.500 0.500

## Properties
- energy (eV per formula unit) = -31.77
- SG = P-4m2 (115)